(1)
DFT (PBE) results for an optimized crystal structure of K2VPbBr6.

The structure in CIF format:
```
data_K2VPbBr6
_space_group_name_H-M_alt 'P 1'
_space_group_IT_number 1
_space_group_name_Hall 'P 1'
_cell_length_a 7.6836
_cell_length_b 7.9237
_cell_length_c 7.8581
_cell_angle_alpha 121.34
_cell_angle_beta 119.79
_cell_angle_gamma 88.89
loop_
_atom_site_label
_atom_site_type_symbol
_atom_site_fract_x
_atom_site_fract_y
_atom_site_fract_z
_atom_site_occupancy
Br1 Br 0.7166 0.8180 0.0027 1
V1 V 0.9999 0.0004 0.9999 1
K1 K 0.7332 0.2415 0.4668 1
K2 K 0.2660 0.7584 0.5316 1
Br2 Br 0.2832 0.1827 0.9968 1
Pb1 Pb 0.4999 0.5004 0.9998 1
Br3 Br 0.1761 0.3055 0.4649 1
Br4 Br 0.2523 0.7932 0.1252 1
Br5 Br 0.8235 0.6953 0.5351 1
Br6 Br 0.7483 0.2085 0.8751 1
```

## Properties
* space group: P1, No. 1
* uncorrected energy: -3.69 eV per atom



(2)
DFT (PBE) results for an optimized crystal structure of MgBPd3.

The structure in CIF format:
```
data_MgBPd3
_space_group_name_H-M_alt 'P 1'
_space_group_IT_number 1
_space_group_name_Hall 'P 1'
_cell_length_a 4.5939
_cell_length_b 4.5939
_cell_length_c 4.5939
_cell_angle_alpha 90.00
_cell_angle_beta 90.00
_cell_angle_gamma 90.00
loop_
_atom_site_label
_atom_site_type_symbol
_atom_site_fract_x
_atom_site_fract_y
_atom_site_fract_z
_atom_site_occupancy
Mg1 Mg 0.0000 0.0000 0.0000 1
Pd1 Pd 0.0000 0.5000 0.0000 1
Pd2 Pd 0.5000 0.0000 0.0000 1
Pd3 Pd 0.0000 0.0000 0.5000 1
B1 B 0.5000 0.5000 0.5000 1
```

## Properties
* space group: Pm-3m, No. 221
* E above lowest polymorph: 1.868 eV/atom
* energy relative to the elements: 6.91 eV/f.u.



(3)
DFT (PBE) results for an optimized crystal structure of ZrBeCl.

The structure in CIF format:
```
data_ZrBeCl
_space_group_name_H-M_alt 'P 1'
_space_group_IT_number 1
_space_group_name_Hall 'P 1'
_cell_length_a 4.3489
_cell_length_b 4.3489
_cell_length_c 4.3489
_cell_angle_alpha 60.00
_cell_angle_beta 60.00
_cell_angle_gamma 60.00
loop_
_atom_site_label
_atom_site_type_symbol
_atom_site_fract_x
_atom_site_fract_y
_atom_site_fract_z
_atom_site_occupancy
Zr1 Zr 0.5000 0.5000 0.5000 1
Cl1 Cl 0.0000 0.0000 0.0000 1
Be1 Be 0.2500 0.2500 0.2500 1
```

## Properties
* space group: F-43m, No. 216
* E above lowest polymorph: 0.998 eV/atom



(4)
DFT (PBE) results for an optimized crystal structure of Zr12TiBi6.

The structure in CIF format:
```
data_Zr12TiBi6
_space_group_name_H-M_alt 'P 1'
_space_group_IT_number 1
_space_group_name_Hall 'P 1'
_cell_length_a 8.5225
_cell_length_b 8.5225
_cell_length_c 8.5225
_cell_angle_alpha 110.55
_cell_angle_beta 110.55
_cell_angle_gamma 110.55
loop_
_atom_site_label
_atom_site_type_symbol
_atom_site_fract_x
_atom_site_fract_y
_atom_site_fract_z
_atom_site_occupancy
Zr1 Zr 0.4523 0.1962 0.3122 1
Bi1 Bi 0.9161 0.4072 0.6308 1
Zr2 Zr 0.3122 0.4523 0.1962 1
Bi2 Bi 0.3692 0.0839 0.5928 1
Zr3 Zr 0.1962 0.3122 0.4523 1
Zr4 Zr 0.5477 0.8038 0.6878 1
Zr5 Zr 0.1654 0.7410 0.0979 1
Zr6 Zr 0.2590 0.9021 0.8346 1
Ti1 Ti 0.0000 0.0000 0.0000 1
Zr7 Zr 0.7410 0.0979 0.1654 1
Zr8 Zr 0.8038 0.6878 0.5477 1
Bi3 Bi 0.6308 0.9161 0.4072 1
Zr9 Zr 0.9021 0.8346 0.2590 1
Bi4 Bi 0.0839 0.5928 0.3692 1
Bi5 Bi 0.4072 0.6308 0.9161 1
Zr10 Zr 0.8346 0.2590 0.9021 1
Zr11 Zr 0.6878 0.5477 0.8038 1
Bi6 Bi 0.5928 0.3692 0.0839 1
Zr12 Zr 0.0979 0.1654 0.7410 1
```

## Properties
* space group: R-3, No. 148
* energy relative to the elements: -3.07 eV/f.u.



(5)
DFT (PBE) results for an optimized crystal structure of Nb2SnN.

The structure in CIF format:
```
data_Nb2SnN
_space_group_name_H-M_alt 'P 1'
_space_group_IT_number 1
_space_group_name_Hall 'P 1'
_cell_length_a 5.4181
_cell_length_b 5.4181
_cell_length_c 6.7693
_cell_angle_alpha 66.41
_cell_angle_beta 66.41
_cell_angle_gamma 90.00
loop_
_atom_site_label
_atom_site_type_symbol
_atom_site_fract_x
_atom_site_fract_y
_atom_site_fract_z
_atom_site_occupancy
Nb1 Nb 0.4875 0.1250 0.2500 1
Sn1 Sn 0.7500 0.2500 0.5000 1
Nb2 Nb 0.3750 0.5125 0.7500 1
Nb3 Nb 0.2625 0.6250 0.2500 1
N1 N 0.2500 0.7500 0.5000 1
N2 N 0.5000 0.5000 0.0000 1
Nb4 Nb 0.8750 0.7375 0.7500 1
Sn2 Sn 0.0000 0.0000 0.0000 1
```

## Properties
* space group: I-42d, No. 122
* uncorrected energy: -8.09 eV per atom



(6)
DFT (PBE) results for an optimized crystal structure of LiN3O.

The structure in CIF format:
```
data_LiN3O
_space_group_name_H-M_alt 'P 1'
_space_group_IT_number 1
_space_group_name_Hall 'P 1'
_cell_length_a 3.5329
_cell_length_b 3.5329
_cell_length_c 3.5329
_cell_angle_alpha 90.00
_cell_angle_beta 90.00
_cell_angle_gamma 90.00
loop_
_atom_site_label
_atom_site_type_symbol
_atom_site_fract_x
_atom_site_fract_y
_atom_site_fract_z
_atom_site_occupancy
Li1 Li 0.5000 0.5000 0.5000 1
N1 N 0.0000 0.0000 0.5000 1
O1 O 0.0000 0.0000 0.0000 1
N2 N 0.5000 0.0000 0.0000 1
N3 N 0.0000 0.5000 0.0000 1
```

## Properties
* space group: Pm-3m, No. 221
* uncorrected energy: -3.89 eV per atom



(7)
DFT (PBE) results for an optimized crystal structure of Be2AsF.

The structure in CIF format:
```
data_Be2AsF
_space_group_name_H-M_alt 'P 1'
_space_group_IT_number 1
_space_group_name_Hall 'P 1'
_cell_length_a 4.0207
_cell_length_b 4.0207
_cell_length_c 4.0207
_cell_angle_alpha 60.00
_cell_angle_beta 60.00
_cell_angle_gamma 60.00
loop_
_atom_site_label
_atom_site_type_symbol
_atom_site_fract_x
_atom_site_fract_y
_atom_site_fract_z
_atom_site_occupancy
As1 As 0.5000 0.5000 0.5000 1
Be1 Be 0.7500 0.7500 0.7500 1
F1 F 0.0000 0.0000 0.0000 1
Be2 Be 0.2500 0.2500 0.2500 1
```

## Properties
* space group: Fm-3m, No. 225
* E above lowest polymorph: 0.513 eV/atom



(8)
DFT (PBE) results for an optimized crystal structure of BOsRuPt2.

The structure in CIF format:
```
data_BOsRuPt2
_space_group_name_H-M_alt 'P 1'
_space_group_IT_number 1
_space_group_name_Hall 'P 1'
_cell_length_a 4.8444
_cell_length_b 4.5947
_cell_length_c 4.8444
_cell_angle_alpha 90.00
_cell_angle_beta 90.00
_cell_angle_gamma 90.00
loop_
_atom_site_label
_atom_site_type_symbol
_atom_site_fract_x
_atom_site_fract_y
_atom_site_fract_z
_atom_site_occupancy
Pt1 Pt 0.5000 0.0000 0.0000 1
B1 B 0.5000 0.5000 0.5000 1
Pt2 Pt 0.0000 0.0000 0.5000 1
Os1 Os 0.0000 0.5000 0.0000 1
Ru1 Ru 0.0000 0.0000 0.0000 1
```

## Properties
* space group: P4/mmm, No. 123
* energy relative to the elements: 12.42 eV/f.u.



(9)
DFT (PBE) results for an optimized crystal structure of Th3Al4Ge2.

The structure in CIF format:
```
data_Th3Al4Ge2
_space_group_name_H-M_alt 'P 1'
_space_group_IT_number 1
_space_group_name_Hall 'P 1'
_cell_length_a 4.3631
_cell_length_b 6.0252
_cell_length_c 8.6267
_cell_angle_alpha 102.79
_cell_angle_beta 90.00
_cell_angle_gamma 111.23
loop_
_atom_site_label
_atom_site_type_symbol
_atom_site_fract_x
_atom_site_fract_y
_atom_site_fract_z
_atom_site_occupancy
Al1 Al 0.7258 0.4516 0.0588 1
Th1 Th 0.6689 0.3378 0.6631 1
Al2 Al 0.0524 0.1048 0.3873 1
Al3 Al 0.2742 0.5484 0.9412 1
Ge1 Ge 0.3914 0.7828 0.7242 1
Al4 Al 0.9476 0.8952 0.6127 1
Ge2 Ge 0.6086 0.2172 0.2758 1
Th2 Th 0.0000 0.0000 0.0000 1
Th3 Th 0.3311 0.6622 0.3369 1
```

## Properties
* space group: C2/m, No. 12
* energy relative to the elements: -4.57 eV/f.u.



(10)
DFT (PBE) results for an optimized crystal structure of LiGaAu.

The structure in CIF format:
```
data_LiGaAu
_space_group_name_H-M_alt 'P 1'
_space_group_IT_number 1
_space_group_name_Hall 'P 1'
_cell_length_a 4.8013
_cell_length_b 4.6600
_cell_length_c 4.9685
_cell_angle_alpha 90.00
_cell_angle_beta 58.83
_cell_angle_gamma 90.00
loop_
_atom_site_label
_atom_site_type_symbol
_atom_site_fract_x
_atom_site_fract_y
_atom_site_fract_z
_atom_site_occupancy
Ga1 Ga 0.4721 0.7851 0.1182 1
Au1 Au 0.8114 0.2851 0.0627 1
Li1 Li 0.1351 0.7848 0.7841 1
Au2 Au 0.8113 0.7851 0.4541 1
Li2 Li 0.1353 0.2848 0.4092 1
Ga2 Ga 0.4722 0.2851 0.7379 1
```

## Properties
* space group: Ama2, No. 40
* energy relative to the elements: -1.35 eV/f.u.



(11)
DFT (PBE) results for an optimized crystal structure of La3PrNd2Ho6.

The structure in CIF format:
```
data_La3PrNd2Ho6
_space_group_name_H-M_alt 'P 1'
_space_group_IT_number 1
_space_group_name_Hall 'P 1'
_cell_length_a 6.3003
_cell_length_b 6.3003
_cell_length_c 11.8495
_cell_angle_alpha 95.08
_cell_angle_beta 95.08
_cell_angle_gamma 120.00
loop_
_atom_site_label
_atom_site_type_symbol
_atom_site_fract_x
_atom_site_fract_y
_atom_site_fract_z
_atom_site_occupancy
Ho1 Ho 0.2510 0.2510 0.7519 1
Ho2 Ho 0.7490 0.7490 0.2481 1
Ho3 Ho 0.9174 0.5839 0.7519 1
Pr1 Pr 0.0000 0.0000 0.0000 1
Ho4 Ho 0.5839 0.9174 0.7519 1
Nd1 Nd 0.3334 0.6666 0.0000 1
La1 La 0.5000 0.5000 0.5000 1
La2 La 0.1668 0.8332 0.5000 1
Ho5 Ho 0.0826 0.4161 0.2481 1
La3 La 0.8332 0.1668 0.5000 1
Ho6 Ho 0.4161 0.0826 0.2481 1
Nd2 Nd 0.6666 0.3334 0.0000 1
```

## Properties
* space group: C2/m, No. 12
* energy relative to the elements: 0.15 eV/f.u.



(12)
DFT (PBE) results for an optimized crystal structure of Tl2AsBr.

The structure in CIF format:
```
data_Tl2AsBr
_space_group_name_H-M_alt 'P 1'
_space_group_IT_number 1
_space_group_name_Hall 'P 1'
_cell_length_a 8.7340
_cell_length_b 8.7340
_cell_length_c 8.7340
_cell_angle_alpha 29.97
_cell_angle_beta 29.97
_cell_angle_gamma 29.97
loop_
_atom_site_label
_atom_site_type_symbol
_atom_site_fract_x
_atom_site_fract_y
_atom_site_fract_z
_atom_site_occupancy
As1 As 0.5281 0.5281 0.5281 1
Tl1 Tl 0.2222 0.2222 0.2222 1
Tl2 Tl 0.0084 0.0084 0.0084 1
Br1 Br 0.7413 0.7413 0.7413 1
```

## Properties
* space group: R3m, No. 160
* E above lowest polymorph: 0.022 eV/atom